Material: Tb3Be2SiPt9
Method: DFT, PBE
State: relaxed

Cell lengths 5.7637, 5.7637, 9.2316 Å; angles 90.00, 90.00, 120.00 degrees
With the nearest neighbours (Å) after each atom.
Space group P-3m1 (No. 164)
One atom of each set of equivalent atoms:
Tb: 0.0000 0.0000 0.0000 [1 per cell]  6 Pt 2.88
Tb: 0.3333 0.6667 0.6087 [2 per cell]  9 Pt 2.99-3.27
Be: 0.3333 0.6667 0.1533 [2 per cell]  6 Pt 2.18-2.20
Si: 0.0000 0.0000 0.5000 [1 per cell]  6 Pt 2.42
Pt: 0.0000 0.5000 0.0000 [3 per cell]  2 Be 2.18
Pt: 0.1638 0.3275 0.3061 [6 per cell]  1 Be 2.20, 1 Si 2.42

Results
Formation energy without anion corrections, eV per atom: -0.89